DFT (PBE) results for crystalline RbTiIn2Ru at its relaxed geometry.

Summary:
Space group ... P4/mmm
Crystal system ... tetragonal
Uncorrected energy ... -11.4 eV per cell

a = 5.403 Å, b = 4.692 Å, c = 5.403 Å
α = 90.00°, β = 90.00°, γ = 90.00°
Fractional positions:
Rb (0.000, 0.000, 0.000)
In (0.000, 0.000, 0.500)
In (0.500, 0.000, 0.000)
Ti (0.000, 0.500, 0.000)
Ru (0.500, 0.500, 0.500)

=====

DFT (PBE) results for crystalline RbTlIn2Ru at its relaxed geometry.

Summary:
Space group ... P4/mmm
Crystal system ... tetragonal
Uncorrected energy ... -18.4 eV per cell

a = 5.271 Å, b = 5.271 Å, c = 5.380 Å
α = 90.00°, β = 90.00°, γ = 90.00°
Fractional positions:
In (0.000, 0.500, 0.000)
In (0.500, 0.000, 0.000)
Rb (0.500, 0.500, 0.500)
Tl (0.000, 0.000, 0.500)
Ru (0.000, 0.000, 0.000)

=====

DFT (PBE) results for crystalline RbZnIn2Ru at its relaxed geometry.

Summary:
Space group ... P4/mmm
Crystal system ... tetragonal
Uncorrected energy ... -17.2 eV per cell

a = 5.231 Å, b = 5.231 Å, c = 5.065 Å
α = 90.00°, β = 90.00°, γ = 90.00°
Fractional positions:
In (0.500, 0.000, 0.000)
In (0.000, 0.500, 0.000)
Ru (0.000, 0.000, 0.000)
Zn (0.000, 0.000, 0.500)
Rb (0.500, 0.500, 0.500)

=====

DFT (PBE) results for crystalline Rb2InS3 at its relaxed geometry.

Summary:
Space group ... Cmc2_1
Crystal system ... orthorhombic
Uncorrected energy ... -43.0 eV per cell
Formation energy without anion corrections ... -0.743 eV/atom

a = 6.830 Å, b = 8.365 Å, c = 8.365 Å
α = 108.52°, β = 90.00°, γ = 90.00°
Each line ends with the local moment (μB).
Fractional positions:
S (0.488, 0.435, 0.194)  0.32
S (0.988, 0.806, 0.565)  0.32
S (0.488, 0.194, 0.435)  0.32
S (0.988, 0.565, 0.806)  0.32
S (0.926, 0.101, 0.101)  0.01
S (0.426, 0.899, 0.899)  0.01
Rb (0.497, 0.814, 0.492)  0.01
Rb (0.997, 0.186, 0.508)  0.01
Rb (0.997, 0.508, 0.186)  0.01
Rb (0.497, 0.492, 0.814)  0.01
In (0.062, 0.869, 0.869)  -0.01
In (0.562, 0.131, 0.131)  -0.01

=====

DFT (PBE) results for crystalline RbInS2 at its relaxed geometry.

Summary:
Space group ... P3m1
Crystal system ... trigonal
Uncorrected energy ... -15.0 eV per cell
Formation energy without anion corrections ... -0.763 eV/atom

a = 3.983 Å, b = 3.983 Å, c = 8.213 Å
α = 90.00°, β = 90.00°, γ = 120.00°
Fractional positions:
In (0.000, 0.000, 0.996)
Rb (0.333, 0.667, 0.446)
S (0.667, 0.333, 0.179)
S (0.333, 0.667, 0.834)

=====

DFT (PBE) results for crystalline RbIn4S5 at its relaxed geometry.

Summary:
Space group ... Pmmn
Crystal system ... orthorhombic
Uncorrected energy ... -75.2 eV per cell
Formation energy without anion corrections ... -0.506 eV/atom

a = 6.937 Å, b = 7.421 Å, c = 11.029 Å
α = 90.00°, β = 90.00°, γ = 90.00°
Fractional positions:
In (0.555, 0.705, 0.500)
In (0.555, 0.295, 0.500)
In (0.926, 0.500, 0.808)
In (0.445, 0.795, 0.000)
In (0.445, 0.205, 0.000)
In (0.074, 0.000, 0.308)
In (0.926, 0.500, 0.192)
In (0.074, 0.000, 0.692)
S (0.293, 0.000, 0.500)
S (0.789, 0.234, 0.319)
S (0.789, 0.234, 0.681)
S (0.211, 0.734, 0.819)
S (0.789, 0.766, 0.681)
S (0.789, 0.766, 0.319)
S (0.707, 0.500, 0.000)
S (0.211, 0.734, 0.181)
S (0.211, 0.266, 0.181)
S (0.211, 0.266, 0.819)
Rb (0.082, 0.500, 0.500)
Rb (0.918, 0.000, 0.000)

=====

DFT (PBE) results for crystalline RbInS2 at its relaxed geometry.

Summary:
Space group ... C2/c
Crystal system ... monoclinic
Uncorrected energy ... -28.4 eV per cell
Formation energy without anion corrections ... -0.566 eV/atom

a = 12.265 Å, b = 6.593 Å, c = 6.593 Å
α = 92.34°, β = 129.39°, γ = 50.61°
Fractional positions:
In (0.750, 0.804, 0.304)
In (0.250, 0.196, 0.696)
S (0.151, 0.245, 0.194)
S (0.651, 0.306, 0.255)
S (0.349, 0.694, 0.745)
S (0.849, 0.755, 0.806)
Rb (0.250, 0.611, 0.111)
Rb (0.750, 0.389, 0.889)

=====

DFT (PBE) results for crystalline RbIn6S8 at its relaxed geometry.

Summary:
ΔE to the lowest computed polymorph ... 286.3 meV/atom
Space group ... Fm-3m
Crystal system ... cubic
Uncorrected energy ... -53.5 eV per cell
Formation energy without anion corrections ... -0.208 eV/atom

a = 9.003 Å, b = 9.003 Å, c = 9.003 Å
α = 60.00°, β = 60.00°, γ = 60.00°
Fractional positions:
S (0.854, 0.437, 0.854)
S (0.854, 0.854, 0.854)
S (0.437, 0.854, 0.854)
S (0.146, 0.146, 0.146)
S (0.563, 0.146, 0.146)
S (0.146, 0.146, 0.563)
S (0.146, 0.563, 0.146)
S (0.854, 0.854, 0.437)
In (0.000, 0.500, 0.000)
In (0.000, 0.500, 0.500)
In (0.500, 0.000, 0.000)
In (0.500, 0.000, 0.500)
In (0.000, 0.000, 0.500)
In (0.500, 0.500, 0.000)
Rb (0.000, 0.000, 0.000)

=====

Among the records above, which one has the lowest uncorrected energy?
RbIn4S5